First-principles (PBE-GGA) data for an optimized crystal structure of CdTeRh3, as listed in Alexandria.

Cell and atoms, written as POSCAR:
```
CdTeRh3
1.0
4.8242 0.0000 0.0000
0.0000 4.8242 0.0000
0.0000 0.0000 4.8242
Cd Te Rh
1 1 3
Cartesian
0.0000 0.0000 0.0000
2.4121 2.4121 2.4121
0.0000 2.4121 2.4121
2.4121 0.0000 2.4121
2.4121 2.4121 0.0000
```

Results
Offset from the most stable computed form ... 0.0 kJ/mol of atoms
Final energy ... -4.594 eV/atom
Total moment ... 0.00 μB per atom
Raw formation energy ... 0.6279 eV/atom